Compound: TmPbAuS3
Source: OQMD
Functional: GGA-PBE
Structure: optimized geometry

Summary:
Raw total energy = -5.018 eV/atom
M_tot = 0.0 μB/cell

Geometry as CIF:
```
data_TmPbAuS3
_cell_length_a 10.255
_cell_length_b 4.046
_cell_length_c 14.626
_cell_angle_alpha 90.00
_cell_angle_beta 90.00
_cell_angle_gamma 90.00
_symmetry_space_group_name_H-M 'P n m a'
_symmetry_Int_Tables_number 62
loop_
_symmetry_equiv_pos_as_xyz
'x,y,z'
'-x,-y,-z'
'-x+1/2,-y,z+1/2'
'x+1/2,y,-z+1/2'
'x+1/2,-y+1/2,-z+1/2'
'-x+1/2,y+1/2,z+1/2'
'-x,y+1/2,-z'
'x,-y+1/2,z'
loop_
_atom_site_label
_atom_site_fract_x
_atom_site_fract_y
_atom_site_fract_z
Tm1 0.167 0.250 0.025
Pb1 0.017 0.750 0.299
Au1 0.248 0.750 0.827
S1 0.022 0.750 0.104
S2 0.169 0.750 0.679
S3 0.172 0.250 0.476
```

Compound: AgSbPd2
Source: OQMD
Functional: GGA-PBE
Structure: optimized geometry

Summary:
Raw total energy = -4.509 eV/atom

Geometry as CIF:
```
data_AgSbPd2
_cell_length_a 6.530
_cell_length_b 6.530
_cell_length_c 6.530
_cell_angle_alpha 90.00
_cell_angle_beta 90.00
_cell_angle_gamma 90.00
_symmetry_space_group_name_H-M 'F -4 3 m'
_symmetry_Int_Tables_number 216
_symmetry_space_group_name_Hall 'F -4 2 3'
loop_
_atom_site_label
_atom_site_fract_x
_atom_site_fract_y
_atom_site_fract_z
Ag1 0.000 0.000 0.000
Sb1 0.250 0.250 0.750
Pd1 0.000 0.000 0.500
Pd2 0.250 0.250 0.250
```

Compound: TcCl
Source: OQMD
Functional: GGA-PBE
Structure: optimized geometry

Summary:
Raw total energy = -5.193 eV/atom
M_tot = 0.0 μB/cell

Geometry as CIF:
```
data_TcCl
_cell_length_a 5.295
_cell_length_b 5.295
_cell_length_c 5.295
_cell_angle_alpha 90.00
_cell_angle_beta 90.00
_cell_angle_gamma 90.00
_symmetry_space_group_name_H-M 'F -4 3 m'
_symmetry_Int_Tables_number 216
_symmetry_space_group_name_Hall 'F -4 2 3'
loop_
_atom_site_label
_atom_site_fract_x
_atom_site_fract_y
_atom_site_fract_z
Tc1 0.000 0.000 0.000
Cl1 0.250 0.250 0.250
```

Compound: ZrTeNO
Source: OQMD
Functional: GGA-PBE
Structure: optimized geometry

Summary:
Raw total energy = -7.497 eV/atom
M_tot = 0.0 μB/cell

Geometry as CIF:
```
data_ZrTeNO
_cell_length_a 3.670
_cell_length_b 7.402
_cell_length_c 6.023
_cell_angle_alpha 90.00
_cell_angle_beta 90.00
_cell_angle_gamma 90.00
_symmetry_space_group_name_H-M 'P m c 21'
_symmetry_Int_Tables_number 26
loop_
_symmetry_equiv_pos_as_xyz
'x,y,z'
'-x,-y,z+1/2'
'-x,y,z'
'x,-y,z+1/2'
loop_
_atom_site_label
_atom_site_fract_x
_atom_site_fract_y
_atom_site_fract_z
Zr1 0.000 0.146 0.000
Te1 0.500 0.461 0.649
N1 0.500 0.258 0.903
O1 0.000 0.077 0.318
```

Compound: Y2AlTc
Source: OQMD
Functional: GGA-PBE
Structure: optimized geometry

Summary:
Raw total energy = -6.739 eV/atom
M_tot = 0.7 μB/cell

Geometry as CIF:
```
data_Y2AlTc
_cell_length_a 6.912
_cell_length_b 6.912
_cell_length_c 6.912
_cell_angle_alpha 90.00
_cell_angle_beta 90.00
_cell_angle_gamma 90.00
_symmetry_space_group_name_H-M 'F -4 3 m'
_symmetry_Int_Tables_number 216
_symmetry_space_group_name_Hall 'F -4 2 3'
loop_
_atom_site_label
_atom_site_fract_x
_atom_site_fract_y
_atom_site_fract_z
Y1 0.000 0.000 0.000
Y2 0.250 0.250 0.250
Al1 0.000 0.000 0.500
Tc1 0.250 0.250 0.750
```

Compound: Ho2S3
Source: OQMD
Functional: GGA-PBE
Structure: optimized geometry

Summary:
Raw total energy = -6.375 eV/atom
M_tot = 0.0 μB/cell

Geometry as CIF:
```
data_Ho2S3
_cell_length_a 10.596
_cell_length_b 3.848
_cell_length_c 10.414
_cell_angle_alpha 90.00
_cell_angle_beta 90.00
_cell_angle_gamma 90.00
_symmetry_space_group_name_H-M 'P n m a'
_symmetry_Int_Tables_number 62
loop_
_symmetry_equiv_pos_as_xyz
'x,y,z'
'-x,-y,-z'
'-x+1/2,-y,z+1/2'
'x+1/2,y,-z+1/2'
'x+1/2,-y+1/2,-z+1/2'
'-x+1/2,y+1/2,z+1/2'
'-x,y+1/2,-z'
'x,-y+1/2,z'
loop_
_atom_site_label
_atom_site_fract_x
_atom_site_fract_y
_atom_site_fract_z
Ho1 0.010 0.250 0.187
Ho2 0.192 0.250 0.504
S1 0.046 0.750 0.374
S2 0.119 0.250 0.945
S3 0.228 0.750 0.696
```

Compound: Pr4B2P5
Source: OQMD
Functional: GGA-PBE
Structure: optimized geometry

Summary:
Raw total energy = -6.412 eV/atom
M_tot = 0.0 μB/cell

Geometry as CIF:
```
data_Pr4B2P5
_cell_length_a 14.746
_cell_length_b 4.061
_cell_length_c 10.821
_cell_angle_alpha 90.00
_cell_angle_beta 131.99
_cell_angle_gamma 90.00
_symmetry_space_group_name_H-M 'C 1 2/m 1'
_symmetry_Int_Tables_number 12
loop_
_symmetry_equiv_pos_as_xyz
'x,y,z'
'-x,-y,-z'
'-x,y,-z'
'x,-y,z'
'x+1/2,y+1/2,z'
'-x+1/2,-y+1/2,-z'
'-x+1/2,y+1/2,-z'
'x+1/2,-y+1/2,z'
loop_
_atom_site_label
_atom_site_fract_x
_atom_site_fract_y
_atom_site_fract_z
Pr1 0.065 0.000 0.326
Pr2 0.202 0.500 0.140
B1 0.073 0.500 0.590
P1 0.000 0.000 0.000
P2 0.125 0.500 0.809
P3 0.201 0.500 0.585
```

Compound: BaSr3Pd
Source: OQMD
Functional: GGA-PBE
Structure: optimized geometry

Summary:
Raw total energy = -2.715 eV/atom

Geometry as CIF:
```
data_BaSr3Pd
_cell_length_a 6.128
_cell_length_b 6.128
_cell_length_c 6.128
_cell_angle_alpha 90.00
_cell_angle_beta 90.00
_cell_angle_gamma 90.00
_symmetry_space_group_name_H-M 'P m -3 m'
_symmetry_Int_Tables_number 221
_symmetry_space_group_name_Hall '-P 4 2 3'
loop_
_atom_site_label
_atom_site_fract_x
_atom_site_fract_y
_atom_site_fract_z
Ba1 0.000 0.000 0.000
Sr1 0.000 0.500 0.500
Pd1 0.500 0.500 0.500
```

Compound: Nb2TlMo
Source: OQMD
Functional: GGA-PBE
Structure: optimized geometry

Summary:
Raw total energy = -7.915 eV/atom
M_tot = 0.3 μB/cell

Geometry as CIF:
```
data_Nb2TlMo
_cell_length_a 6.661
_cell_length_b 6.661
_cell_length_c 6.661
_cell_angle_alpha 90.00
_cell_angle_beta 90.00
_cell_angle_gamma 90.00
_symmetry_space_group_name_H-M 'F -4 3 m'
_symmetry_Int_Tables_number 216
_symmetry_space_group_name_Hall 'F -4 2 3'
loop_
_atom_site_label
_atom_site_fract_x
_atom_site_fract_y
_atom_site_fract_z
Nb1 0.000 0.000 0.000
Nb2 0.250 0.250 0.250
Tl1 0.000 0.000 0.500
Mo1 0.250 0.250 0.750
```

Compound: PrNpH2Cl4
Source: OQMD
Functional: GGA-PBE
Structure: optimized geometry

Summary:
Raw total energy = -5.481 eV/atom
M_tot = 4.0 μB/cell

Geometry as CIF:
```
data_PrNpH2Cl4
_cell_length_a 3.9020
_cell_length_b 3.9020
_cell_length_c 13.3517
_cell_angle_alpha 90.00
_cell_angle_beta 90.00
_cell_angle_gamma 120.00
_symmetry_space_group_name_H-M 'P -6 m 2'
_symmetry_Int_Tables_number 187
_symmetry_space_group_name_Hall 'P -6 2'
loop_
_atom_site_label
_atom_site_fract_x
_atom_site_fract_y
_atom_site_fract_z
Pr1 0.0000 0.0000 0.0000
Np1 0.0000 0.0000 0.5000
H1 0.3333 0.6667 0.5000
H2 0.6667 0.3333 0.0000
Cl1 0.3333 0.6667 0.1360
Cl2 0.6667 0.3333 0.3684
```

Compound: LiScRe2O6
Source: OQMD
Functional: GGA-PBE
Structure: optimized geometry

Summary:
Raw total energy = -8.054 eV/atom
M_tot = 8.0 μB/cell

Geometry as CIF:
```
data_LiScRe2O6
_cell_length_a 11.221
_cell_length_b 7.413
_cell_length_c 5.097
_cell_angle_alpha 90.00
_cell_angle_beta 99.32
_cell_angle_gamma 90.00
_symmetry_space_group_name_H-M 'C 1 2/c 1'
_symmetry_Int_Tables_number 15
loop_
_symmetry_equiv_pos_as_xyz
'x,y,z'
'-x,-y,-z'
'-x,y,-z+1/2'
'x,-y,z+1/2'
'x+1/2,y+1/2,z'
'-x+1/2,-y+1/2,-z'
'-x+1/2,y+1/2,-z+1/2'
'x+1/2,-y+1/2,z+1/2'
loop_
_atom_site_label
_atom_site_fract_x
_atom_site_fract_y
_atom_site_fract_z
Li1 0.000 0.153 0.250
Sc1 0.000 0.389 0.750
Re1 0.249 0.065 0.707
O1 0.085 0.368 0.130
O2 0.119 0.012 0.913
O3 0.181 0.319 0.644
```

Compound: K2Gd2HoMg3Cd
Source: OQMD
Functional: GGA-PBE
Structure: optimized geometry

Summary:
Raw total energy = -1.989 eV/atom
M_tot = 0.1 μB/cell

Geometry as CIF:
```
data_K2Gd2HoMg3Cd
_cell_length_a 4.861
_cell_length_b 14.152
_cell_length_c 8.258
_cell_angle_alpha 90.00
_cell_angle_beta 90.00
_cell_angle_gamma 90.00
_symmetry_space_group_name_H-M 'A m m 2'
_symmetry_Int_Tables_number 38
loop_
_symmetry_equiv_pos_as_xyz
'x,y,z'
'-x,-y,z'
'-x,y,z'
'x,-y,z'
'x,y+1/2,z+1/2'
'-x,-y+1/2,z+1/2'
'-x,y+1/2,z+1/2'
'x,-y+1/2,z+1/2'
loop_
_atom_site_label
_atom_site_fract_x
_atom_site_fract_y
_atom_site_fract_z
K1 0.000 0.166 0.000
Gd1 0.500 0.186 0.688
Ho1 0.500 0.000 0.125
Mg1 0.000 0.000 0.712
Mg2 0.000 0.108 0.389
Cd1 0.500 0.000 0.494
```

Compound: MgZn2SnPt4
Source: OQMD
Functional: GGA-PBE
Structure: optimized geometry

Summary:
Raw total energy = -4.574 eV/atom
M_tot = 0.0 μB/cell

Geometry as CIF:
```
data_MgZn2SnPt4
_cell_length_a 4.488
_cell_length_b 4.488
_cell_length_c 6.338
_cell_angle_alpha 90.00
_cell_angle_beta 90.00
_cell_angle_gamma 90.00
_symmetry_space_group_name_H-M 'P 4/m m m'
_symmetry_Int_Tables_number 123
_symmetry_space_group_name_Hall '-P 4 2'
loop_
_atom_site_label
_atom_site_fract_x
_atom_site_fract_y
_atom_site_fract_z
Mg1 0.000 0.000 0.000
Zn1 0.000 0.000 0.500
Zn2 0.500 0.500 0.000
Sn1 0.500 0.500 0.500
Pt1 0.000 0.500 0.248
```

Compound: NdGa6Pt4
Source: OQMD
Functional: GGA-PBE
Structure: optimized geometry

Summary:
Raw total energy = -5.054 eV/atom
M_tot = 0.0 μB/cell

Geometry as CIF:
```
data_NdGa6Pt4
_cell_length_a 7.4240
_cell_length_b 7.4240
_cell_length_c 4.0462
_cell_angle_alpha 90.00
_cell_angle_beta 90.00
_cell_angle_gamma 120.00
_symmetry_space_group_name_H-M 'P -6 m 2'
_symmetry_Int_Tables_number 187
_symmetry_space_group_name_Hall 'P -6 2'
loop_
_atom_site_label
_atom_site_fract_x
_atom_site_fract_y
_atom_site_fract_z
Nd1 0.0000 0.0000 0.0000
Ga1 0.1965 0.3929 0.5000
Ga2 0.5334 0.0668 0.0000
Pt1 0.3333 0.6667 0.0000
Pt2 0.4030 0.2015 0.5000
```

Compound: Lu2Sc4Al3N3
Source: OQMD
Functional: GGA-PBE
Structure: optimized geometry

Summary:
Raw total energy = -7.023 eV/atom
M_tot = 0.0 μB/cell

Geometry as CIF:
```
data_Lu2Sc4Al3N3
_cell_length_a 9.756
_cell_length_b 5.630
_cell_length_c 14.768
_cell_angle_alpha 90.00
_cell_angle_beta 102.88
_cell_angle_gamma 90.00
_symmetry_space_group_name_H-M 'C 1 2/c 1'
_symmetry_Int_Tables_number 15
loop_
_symmetry_equiv_pos_as_xyz
'x,y,z'
'-x,-y,-z'
'-x,y,-z+1/2'
'x,-y,z+1/2'
'x+1/2,y+1/2,z'
'-x+1/2,-y+1/2,-z'
'-x+1/2,y+1/2,-z+1/2'
'x+1/2,-y+1/2,z+1/2'
loop_
_atom_site_label
_atom_site_fract_x
_atom_site_fract_y
_atom_site_fract_z
Lu1 0.046 0.082 0.394
Sc1 0.110 0.412 0.580
Sc2 0.225 0.418 0.920
Al1 0.000 0.442 0.750
Al2 0.236 0.152 0.750
N1 0.082 0.245 0.000
N2 0.250 0.250 0.500
```

Compound: PaAgGe
Source: OQMD
Functional: GGA-PBE
Structure: optimized geometry

Summary:
Raw total energy = -5.538 eV/atom
M_tot = 7.2 μB/cell

Geometry as CIF:
```
data_PaAgGe
_cell_length_a 6.647
_cell_length_b 6.647
_cell_length_c 6.647
_cell_angle_alpha 90.00
_cell_angle_beta 90.00
_cell_angle_gamma 90.00
_symmetry_space_group_name_H-M 'F -4 3 m'
_symmetry_Int_Tables_number 216
_symmetry_space_group_name_Hall 'F -4 2 3'
loop_
_atom_site_label
_atom_site_fract_x
_atom_site_fract_y
_atom_site_fract_z
Pa1 0.000 0.000 0.000
Ag1 0.000 0.000 0.500
Ge1 0.250 0.250 0.750
```

Compound: CsNdGe
Source: OQMD
Functional: GGA-PBE
Structure: optimized geometry

Summary:
Raw total energy = -3.200 eV/atom
M_tot = 0.0 μB/cell

Geometry as CIF:
```
data_CsNdGe
_cell_length_a 7.754
_cell_length_b 7.754
_cell_length_c 7.754
_cell_angle_alpha 90.00
_cell_angle_beta 90.00
_cell_angle_gamma 90.00
_symmetry_space_group_name_H-M 'F -4 3 m'
_symmetry_Int_Tables_number 216
_symmetry_space_group_name_Hall 'F -4 2 3'
loop_
_atom_site_label
_atom_site_fract_x
_atom_site_fract_y
_atom_site_fract_z
Cs1 0.000 0.000 0.000
Nd1 0.000 0.000 0.500
Ge1 0.250 0.250 0.250
```

Compound: LaDy2Si4Ni4
Source: OQMD
Functional: GGA-PBE
Structure: optimized geometry

Summary:
Raw total energy = -6.086 eV/atom
M_tot = 0.0 μB/cell

Geometry as CIF:
```
data_LaDy2Si4Ni4
_cell_length_a 4.036
_cell_length_b 4.073
_cell_length_c 22.988
_cell_angle_alpha 90.00
_cell_angle_beta 90.00
_cell_angle_gamma 90.00
_symmetry_space_group_name_H-M 'I m m m'
_symmetry_Int_Tables_number 71
_symmetry_space_group_name_Hall '-I 2 2'
loop_
_atom_site_label
_atom_site_fract_x
_atom_site_fract_y
_atom_site_fract_z
La1 0.000 0.000 0.000
Dy1 0.000 0.500 0.151
Si1 0.000 0.000 0.446
Si2 0.000 0.500 0.301
Ni1 0.000 0.000 0.249
Ni2 0.000 0.500 0.399
```

Compound: TlSnTe3Au
Source: OQMD
Functional: GGA-PBE
Structure: optimized geometry

Summary:
Raw total energy = -3.342 eV/atom

Geometry as CIF:
```
data_TlSnTe3Au
_cell_length_a 4.313
_cell_length_b 13.866
_cell_length_c 12.097
_cell_angle_alpha 90.00
_cell_angle_beta 90.00
_cell_angle_gamma 90.00
_symmetry_space_group_name_H-M 'C m c m'
_symmetry_Int_Tables_number 63
_symmetry_space_group_name_Hall '-C 2c 2'
loop_
_atom_site_label
_atom_site_fract_x
_atom_site_fract_y
_atom_site_fract_z
Tl1 0.000 0.216 0.250
Sn1 0.000 0.500 0.000
Te1 0.000 0.155 0.528
Te2 0.000 0.476 0.750
Au1 0.000 0.120 0.750
```

Compound: Zr4ZnCuN2
Source: OQMD
Functional: GGA-PBE
Structure: optimized geometry

Summary:
Raw total energy = -7.843 eV/atom
M_tot = 0.0 μB/cell

Geometry as CIF:
```
data_Zr4ZnCuN2
_cell_length_a 3.2738
_cell_length_b 3.2738
_cell_length_c 13.8509
_cell_angle_alpha 90.00
_cell_angle_beta 90.00
_cell_angle_gamma 120.00
_symmetry_space_group_name_H-M 'P -6 m 2'
_symmetry_Int_Tables_number 187
_symmetry_space_group_name_Hall 'P -6 2'
loop_
_atom_site_label
_atom_site_fract_x
_atom_site_fract_y
_atom_site_fract_z
Zr1 0.0000 0.0000 0.1539
Zr2 0.6667 0.3333 0.3366
Zn1 0.0000 0.0000 0.5000
Cu1 0.6667 0.3333 0.0000
N1 0.3333 0.6667 0.2465
```